1.
Here is a geometry-optimized MoAuCl2 structure from the Alexandria database. Energies are from GGA-PBE. Values from VASP.

Summary:
space group	Immm, No. 71
E above lowest polymorph	0	meV per atom
formation energy (no corrections)	-0.194	eV per atom
final energy	-4.645	eV per atom

The structure in Quantum ESPRESSO input format:
```
&SYSTEM
  ibrav = 0, nat = 4, ntyp = 3
/
ATOMIC_SPECIES
Mo 95.94 Mo.upf
Au 196.97 Au.upf
Cl 35.45 Cl.upf
CELL_PARAMETERS angstrom
-1.4649 2.4893 6.7130
1.4649 -2.4893 6.7130
1.4649 2.4893 -6.7130
ATOMIC_POSITIONS angstrom
Mo 0.0000 0.0000 0.0000
Au 0.0000 0.0000 6.7130
Cl 1.4649 0.0000 1.9707
Cl 0.0000 2.4893 4.7422
```

2.
Here is a geometry-optimized CaHgAs2 structure from the Alexandria database. Energies are from GGA-PBE. Values from VASP.

Summary:
space group	P4mm, No. 99
ΔE_f	-237	meV per atom
final energy	-3.138	eV per atom

The structure in Quantum ESPRESSO input format:
```
&SYSTEM
  ibrav = 0, nat = 4, ntyp = 3
/
ATOMIC_SPECIES
Ca 40.08 Ca.upf
Hg 200.59 Hg.upf
As 74.92 As.upf
CELL_PARAMETERS angstrom
4.0844 0.0000 0.0000
0.0000 4.0844 0.0000
0.0000 0.0000 5.8505
ATOMIC_POSITIONS angstrom
Ca 0.0000 0.0000 0.0000
Hg 2.0422 2.0422 2.3612
As 0.0000 0.0000 2.9256
As 2.0422 2.0422 5.2871
```

3.
Here is a geometry-optimized SmZnPt2 structure from the Alexandria database. Energies are from GGA-PBE. Values from VASP.

Summary:
space group	P4/mmm, No. 123
ΔE_f	-795	meV per atom
final energy	-5.313	eV per atom

The structure in Quantum ESPRESSO input format:
```
&SYSTEM
  ibrav = 0, nat = 4, ntyp = 3
/
ATOMIC_SPECIES
Sm 150.36 Sm.upf
Zn 65.41 Zn.upf
Pt 195.08 Pt.upf
CELL_PARAMETERS angstrom
3.5475 0.0000 0.0000
0.0000 3.5475 0.0000
0.0000 0.0000 6.0013
ATOMIC_POSITIONS angstrom
Sm 0.0000 0.0000 0.0000
Zn 0.0000 0.0000 3.0007
Pt 1.7738 1.7738 1.6571
Pt 1.7738 1.7738 4.3442
```

4.
Here is a geometry-optimized SmHo3Co structure from the Alexandria database. Energies are from GGA-PBE. Values from VASP.

Summary:
space group	C2/m, No. 12
ΔE_f	-103	meV per atom
E above lowest polymorph	0	meV per atom
final energy	-5.214	eV per atom

The structure in Quantum ESPRESSO input format:
```
&SYSTEM
  ibrav = 0, nat = 10, ntyp = 3
/
ATOMIC_SPECIES
Sm 150.36 Sm.upf
Ho 164.93 Ho.upf
Co 58.93 Co.upf
CELL_PARAMETERS angstrom
5.7976 -4.1141 0.0000
5.7976 4.1141 0.0000
-5.6437 0.0000 5.8676
ATOMIC_POSITIONS angstrom
Sm -1.3444 0.0000 1.9742
Sm 7.2959 0.0000 3.8933
Ho 1.7486 1.6713 1.2063
Ho 1.0244 0.0000 4.3885
Ho 1.7486 -1.6713 1.2063
Ho 4.2028 1.6713 4.6612
Ho 4.9270 0.0000 1.4791
Ho 4.2028 -1.6713 4.6612
Co -2.0817 0.0000 5.2032
Co 8.0332 0.0000 0.6643
```